Material: BaPmMgGe
Method: DFT, GGA-PBE
State: optimized geometry

The space group is F-43m (No. 216) and the conventional cell measures 7.829, 7.829 and 7.829 Å, with angles of 90.00, 90.00 and 90.00 degrees. The asymmetric unit holds Ba at (0.000, 0.000, 0.000), Pm at (0.000, 0.000, 0.500), Mg at (0.250, 0.250, 0.750) and Ge at (0.250, 0.250, 0.250).

As for the mass density: 5.25 Mg/m³. As for the energy of formation: -0.207 eV/atom. As for the size of the total moment: 0.0 μB/f.u.


Material: Ba2MgGe3Pt4
Method: DFT, GGA-PBE
State: optimized geometry

The space group is P-4m2 (No. 115) and the conventional cell measures 4.527, 4.527 and 10.610 Å, with angles of 90.00, 90.00 and 90.00 degrees. The asymmetric unit holds Ba at (0.000, 0.500, 0.248), Mg at (0.000, 0.000, 0.500), Ge at (0.000, 0.500, 0.882), Ge at (0.500, 0.500, 0.500), Pt at (0.000, 0.000, 0.000), Pt at (0.000, 0.500, 0.632) and Pt at (0.500, 0.500, 0.000).

As for the mass density: 9.91 Mg/m³. As for the energy of formation: -0.767 eV/atom. As for the size of the total moment: 0.0 μB/f.u.


Material: BaMgGe2Pt
Method: DFT, GGA-PBE
State: optimized geometry

The space group is I-4m2 (No. 119) and the conventional cell measures 4.462, 4.462 and 11.390 Å, with angles of 90.00, 90.00 and 90.00 degrees. The asymmetric unit holds Ba at (0.000, 0.000, 0.000), Mg at (0.000, 0.500, 0.250), Ge at (0.000, 0.000, 0.379) and Pt at (0.000, 0.500, 0.750).

As for the mass density: 7.35 Mg/m³. As for the energy of formation: -0.600 eV/atom. As for the size of the total moment: 0.0 μB/f.u.